{
  "formula": "Dy2Al5PdRh2",
  "functional": "GGA-PBE",
  "state": "optimized geometry",
  "cell": [[9.569, 0.000, 0.000], [0.000, 9.569, 0.000], [0.000, 0.000, 3.942]],
  "species": ["Dy", "Dy", "Dy", "Dy", "Al", "Al", "Al", "Al", "Al", "Al", "Al", "Al", "Al", "Al", "Pd", "Pd", "Rh", "Rh", "Rh", "Rh"],
  "fractional_positions": [[0.182, 0.318, 0.000], [0.318, 0.818, 0.000], [0.682, 0.182, 0.000], [0.818, 0.682, 0.000], [0.000, 0.500, 0.500], [0.057, 0.798, 0.500], [0.202, 0.057, 0.500], [0.298, 0.557, 0.500], [0.443, 0.298, 0.500], [0.500, 0.000, 0.500], [0.557, 0.702, 0.500], [0.702, 0.443, 0.500], [0.798, 0.943, 0.500], [0.943, 0.202, 0.500], [0.000, 0.000, 0.000], [0.500, 0.500, 0.000], [0.115, 0.615, 0.000], [0.385, 0.115, 0.000], [0.615, 0.885, 0.000], [0.885, 0.385, 0.000]],
  "ef_ev_per_atom": -0.72
}

---

{
  "formula": "DyAlPdRh",
  "functional": "GGA-PBE",
  "state": "optimized geometry",
  "cell": [[6.541, 0.000, 0.000], [0.000, 6.541, 0.000], [0.000, 0.000, 6.541]],
  "species": ["Dy", "Dy", "Dy", "Dy", "Al", "Al", "Al", "Al", "Pd", "Pd", "Pd", "Pd", "Rh", "Rh", "Rh", "Rh"],
  "fractional_positions": [[0.000, 0.000, 0.000], [0.000, 0.500, 0.500], [0.500, 0.000, 0.500], [0.500, 0.500, 0.000], [0.000, 0.000, 0.500], [0.000, 0.500, 0.000], [0.500, 0.000, 0.000], [0.500, 0.500, 0.500], [0.250, 0.250, 0.750], [0.250, 0.750, 0.250], [0.750, 0.250, 0.250], [0.750, 0.750, 0.750], [0.250, 0.250, 0.250], [0.250, 0.750, 0.750], [0.750, 0.250, 0.750], [0.750, 0.750, 0.250]],
  "ef_ev_per_atom": -0.84
}

---

{
  "formula": "DyAl4Pd2Rh",
  "functional": "GGA-PBE",
  "state": "optimized geometry",
  "cell": [[2.129, 1.229, 8.735], [-2.129, 1.229, 8.735], [0.000, -2.459, 8.735]],
  "species": ["Dy", "Al", "Al", "Al", "Al", "Pd", "Pd", "Rh"],
  "fractional_positions": [[0.000, 0.000, 0.000], [0.134, 0.134, 0.134], [0.403, 0.403, 0.403], [0.597, 0.597, 0.597], [0.866, 0.866, 0.866], [0.236, 0.236, 0.236], [0.764, 0.764, 0.764], [0.500, 0.500, 0.500]],
  "ef_ev_per_atom": -0.79
}

---

{
  "formula": "Dy2Al5PdRu2",
  "functional": "GGA-PBE",
  "state": "optimized geometry",
  "cell": [[10.624, 0.000, 0.000], [0.000, 10.624, 0.000], [0.000, 0.000, 3.148]],
  "species": ["Dy", "Dy", "Dy", "Dy", "Al", "Al", "Al", "Al", "Al", "Al", "Al", "Al", "Al", "Al", "Pd", "Pd", "Ru", "Ru", "Ru", "Ru"],
  "fractional_positions": [[0.187, 0.313, 0.000], [0.313, 0.813, 0.000], [0.687, 0.187, 0.000], [0.813, 0.687, 0.000], [0.000, 0.500, 0.500], [0.051, 0.805, 0.500], [0.195, 0.051, 0.500], [0.305, 0.551, 0.500], [0.449, 0.305, 0.500], [0.500, 0.000, 0.500], [0.551, 0.695, 0.500], [0.695, 0.449, 0.500], [0.805, 0.949, 0.500], [0.949, 0.195, 0.500], [0.000, 0.000, 0.000], [0.500, 0.500, 0.000], [0.127, 0.627, 0.000], [0.373, 0.127, 0.000], [0.627, 0.873, 0.000], [0.873, 0.373, 0.000]],
  "ef_ev_per_atom": -0.54
}